# 1
{
  "formula": "Sc4AsP2",
  "functional": "GGA-PBE",
  "state": "relaxed",
  "cell": [[-2.9170, -2.1650, 0.9557], [3.3292, -3.1807, -4.4261], [6.7778, -5.2244, 8.8525]],
  "species": ["Sc", "Sc", "Sc", "Sc", "Sc", "Sc", "Sc", "Sc", "As", "As", "P", "P", "P", "P"],
  "frac_coords": [[0.7690, 0.5381, 0.1202], [0.7690, 0.5381, 0.3798], [0.2310, 0.4619, 0.8798], [0.2310, 0.4619, 0.6202], [0.9521, 0.9042, 0.7500], [0.0479, 0.0958, 0.2500], [0.5000, 0.0000, 0.0000], [0.5000, 0.0000, 0.5000], [0.6107, 0.2213, 0.7500], [0.3893, 0.7787, 0.2500], [0.1344, 0.2688, 0.4375], [0.8656, 0.7312, 0.9375], [0.1344, 0.2688, 0.0625], [0.8656, 0.7312, 0.5625]],
  "rho_kg_m3": 3725,
  "formation_energy_mev_per_atom": -1282
}



# 2
{
  "formula": "Sc2CdCuAg",
  "functional": "GGA-PBE",
  "state": "relaxed",
  "cell": [[4.8916, 0.0000, 0.0000], [0.0000, 4.7834, 0.0000], [0.0000, 0.0000, 4.8916]],
  "species": ["Sc", "Sc", "Cu", "Ag", "Cd"],
  "frac_coords": [[0.0000, 0.0000, 0.5000], [0.5000, 0.0000, 0.0000], [0.0000, 0.0000, 0.0000], [0.5000, 0.5000, 0.5000], [0.0000, 0.5000, 0.0000]],
  "rho_kg_m3": 5422,
  "formation_energy_mev_per_atom": 217
}



# 3
{
  "formula": "Ce2PrAl",
  "functional": "GGA-PBE",
  "state": "relaxed",
  "cell": [[3.9333, 0.0000, 0.0000], [0.0000, 3.9333, 0.0000], [0.0000, 0.0000, 7.4613]],
  "species": ["Pr", "Al", "Ce", "Ce"],
  "frac_coords": [[0.5000, 0.5000, 0.5000], [0.5000, 0.5000, 0.0000], [0.0000, 0.0000, 0.8109], [0.0000, 0.0000, 0.1891]],
  "rho_kg_m3": 6446,
  "formation_energy_mev_per_atom": -58
}



# 4
{
  "formula": "CaTa2Mn",
  "functional": "GGA-PBE",
  "state": "relaxed",
  "cell": [[4.7798, 0.0000, 0.0000], [2.3899, 4.1394, 0.0000], [2.3899, 1.3798, 3.9027]],
  "species": ["Ca", "Mn", "Ta", "Ta"],
  "frac_coords": [[0.5000, 0.5000, 0.5000], [0.7500, 0.7500, 0.7500], [0.0000, 0.0000, 0.0000], [0.2500, 0.2500, 0.2500]],
  "rho_kg_m3": 9826,
  "formation_energy_mev_per_atom": 725
}



# 5
{
  "formula": "AsH2Se",
  "functional": "GGA-PBE",
  "state": "relaxed",
  "cell": [[-1.4540, 0.2407, -2.4437], [4.9117, -2.0587, -3.3478], [-3.5089, -6.8505, 1.4452]],
  "species": ["As", "As", "H", "H", "H", "H", "Se", "Se"],
  "frac_coords": [[0.2955, 0.0004, 0.2518], [0.2706, 0.3915, 0.2533], [0.7798, 0.8300, 0.9510], [0.2677, 0.4581, 0.4518], [0.7808, 0.3507, 0.9505], [0.2976, 0.0108, 0.4501], [0.7822, 0.2950, 0.7570], [0.7828, 0.7933, 0.7573]],
  "rho_kg_m3": 3734,
  "dft_energy_ev_per_atom": -3.5610
}



# 6
{
  "formula": "ZrSiRu4",
  "functional": "GGA-PBE",
  "state": "relaxed",
  "cell": [[0.0000, 3.6210, 3.6210], [3.6210, 0.0000, 3.6210], [3.6210, 3.6210, 0.0000]],
  "species": ["Zr", "Si", "Ru", "Ru", "Ru", "Ru"],
  "frac_coords": [[0.0000, 0.0000, 0.0000], [0.7500, 0.7500, 0.7500], [0.8718, 0.3761, 0.3761], [0.3761, 0.3761, 0.8718], [0.3761, 0.8718, 0.3761], [0.3761, 0.3761, 0.3761]],
  "rho_kg_m3": 9156,
  "e_form_raw_ev_per_fu": 0.31
}



# 7
{
  "formula": "Sr5Li2Tl",
  "functional": "GGA-PBE",
  "state": "relaxed",
  "cell": [[5.8595, 0.0000, 0.0000], [0.0000, 7.6456, 0.0000], [0.0000, 0.0000, 14.6117]],
  "species": ["Sr", "Sr", "Sr", "Sr", "Sr", "Sr", "Sr", "Sr", "Sr", "Sr", "Li", "Li", "Li", "Li", "Tl", "Tl"],
  "frac_coords": [[0.5000, 0.3364, 0.1021], [0.5000, 0.6636, 0.8979], [0.5000, 0.8364, 0.3979], [0.5000, 0.1636, 0.6021], [0.0000, 0.8633, 0.7194], [0.0000, 0.1367, 0.2806], [0.0000, 0.3633, 0.7806], [0.0000, 0.6367, 0.2194], [0.0000, 0.5000, 0.5000], [0.0000, 0.0000, 0.0000], [0.5000, 0.3607, 0.3638], [0.5000, 0.6393, 0.6362], [0.5000, 0.1393, 0.8638], [0.5000, 0.8607, 0.1362], [0.0000, 0.0000, 0.5000], [0.0000, 0.5000, 0.0000]],
  "rho_kg_m3": 3330,
  "formation_energy_mev_per_atom": -84
}



# 8
{
  "formula": "FeCo2Os",
  "functional": "GGA-PBE",
  "state": "relaxed",
  "cell": [[-1.8138, 0.1169, 4.0192], [3.1566, -0.2483, 3.0711], [-0.4834, 2.5953, -3.5338]],
  "species": ["Co", "Co", "Fe", "Os"],
  "frac_coords": [[0.0000, 0.0000, 0.0000], [0.5000, 0.5000, 0.0000], [0.2500, 0.7500, 0.5000], [0.7500, 0.2500, 0.5000]],
  "rho_kg_m3": 13013,
  "formation_energy_mev_per_atom": 94
}



# 9
{
  "formula": "LiCu4P2",
  "functional": "GGA-PBE",
  "state": "relaxed",
  "cell": [[3.7861, 0.0000, 0.0000], [0.0000, 3.6310, -1.0784], [0.0000, 0.0699, 6.8873]],
  "species": ["Li", "Cu", "Cu", "Cu", "Cu", "P", "P"],
  "frac_coords": [[0.0000, 0.0000, 0.0000], [0.5000, 0.8198, 0.6395], [0.0000, 0.6807, 0.3614], [0.5000, 0.1802, 0.3605], [0.0000, 0.3193, 0.6386], [0.5000, 0.5815, 0.1631], [0.5000, 0.4185, 0.8369]],
  "rho_kg_m3": 5649,
  "formation_energy_mev_per_atom": -203
}



# 10
{
  "formula": "LaErInPd",
  "functional": "GGA-PBE",
  "state": "relaxed",
  "cell": [[5.2789, 0.0000, 0.0000], [2.6394, 4.5716, 0.0000], [2.6394, 1.5239, 4.3102]],
  "species": ["La", "In", "Pd", "Er"],
  "frac_coords": [[0.0000, 0.0000, 0.0000], [0.2500, 0.2500, 0.2500], [0.7500, 0.7500, 0.7500], [0.5000, 0.5000, 0.5000]],
  "rho_kg_m3": 8420,
  "formation_energy_mev_per_atom": -556
}



# 11
{
  "formula": "SmDy3Th2P6",
  "functional": "GGA-PBE",
  "state": "relaxed",
  "cell": [[4.0803, 0.0000, 0.0000], [0.0000, 8.1191, 0.3051], [-2.0401, -2.3248, 8.5535]],
  "species": ["Sm", "Dy", "Dy", "Dy", "Th", "Th", "P", "P", "P", "P", "P", "P"],
  "frac_coords": [[0.5000, 0.0000, 0.0000], [0.5000, 0.5000, 0.0000], [0.8343, 0.1660, 0.6686], [0.1657, 0.8340, 0.3314], [0.8348, 0.6694, 0.6695], [0.1652, 0.3306, 0.3305], [0.3318, 0.9205, 0.6637], [0.6655, 0.5868, 0.3310], [0.6682, 0.0795, 0.3363], [0.9986, 0.2538, 0.9973], [0.0014, 0.7462, 0.0027], [0.3345, 0.4132, 0.6690]],
  "rho_kg_m3": 7470,
  "formation_energy_mev_per_atom": -1599
}



# 12
{
  "formula": "DyTl2Ge2Pt7",
  "functional": "GGA-PBE",
  "state": "relaxed",
  "cell": [[-0.3763, 0.4800, 4.0032], [1.3375, -3.7787, 0.5743], [13.9189, 4.0133, 1.9726]],
  "species": ["Dy", "Tl", "Tl", "Ge", "Ge", "Pt", "Pt", "Pt", "Pt", "Pt", "Pt", "Pt"],
  "frac_coords": [[0.0000, 0.0000, 0.0000], [0.9000, 0.9000, 0.3992], [0.1000, 0.1000, 0.6008], [0.5697, 0.5697, 0.7513], [0.4303, 0.4303, 0.2487], [0.5000, 0.5000, 0.0000], [0.3978, 0.3978, 0.4163], [0.6022, 0.6022, 0.5837], [0.9589, 0.4594, 0.1483], [0.4594, 0.9589, 0.1483], [0.5406, 0.0411, 0.8517], [0.0411, 0.5406, 0.8517]],
  "rho_kg_m3": 14510,
  "formation_energy_mev_per_atom": -515
}



# 13
{
  "formula": "Tm2Ga7Cu12",
  "functional": "GGA-PBE",
  "state": "relaxed",
  "cell": [[-2.2181, 3.0312, -0.7598], [-7.9079, -5.0746, 2.8407], [5.0285, 5.3191, 6.5405]],
  "species": ["Tm", "Tm", "Ga", "Ga", "Ga", "Ga", "Ga", "Ga", "Ga", "Cu", "Cu", "Cu", "Cu", "Cu", "Cu", "Cu", "Cu", "Cu", "Cu", "Cu", "Cu"],
  "frac_coords": [[0.2417, 0.3333, 0.6667], [0.7583, 0.6667, 0.3333], [0.5000, 0.0000, 0.0000], [0.2609, 0.8814, 0.2947], [0.2609, 0.4132, 0.1186], [0.2609, 0.7053, 0.5868], [0.7391, 0.1186, 0.7053], [0.7391, 0.5868, 0.8814], [0.7391, 0.2947, 0.4132], [0.2431, 0.6239, 0.0546], [0.2431, 0.4307, 0.3761], [0.2431, 0.9454, 0.5693], [0.7569, 0.3761, 0.9454], [0.7569, 0.5693, 0.6239], [0.7569, 0.0546, 0.4307], [0.2306, 0.1216, 0.2630], [0.2306, 0.1414, 0.8784], [0.2306, 0.7370, 0.8586], [0.7694, 0.8784, 0.7370], [0.7694, 0.8586, 0.1216], [0.7694, 0.2630, 0.1414]],
  "rho_kg_m3": 8249,
  "formation_energy_mev_per_atom": -176
}



# 14
{
  "formula": "Pr2In3Pb3",
  "functional": "GGA-PBE",
  "state": "relaxed",
  "cell": [[4.9684, 0.0000, 0.0000], [0.0000, 4.7946, 0.0000], [0.0000, 0.0000, 9.5342]],
  "species": ["Pr", "Pr", "In", "In", "In", "Pb", "Pb", "Pb"],
  "frac_coords": [[0.0000, 0.0000, 0.7522], [0.0000, 0.0000, 0.2478], [0.5000, 0.5000, 0.7585], [0.5000, 0.5000, 0.2415], [0.5000, 0.0000, 0.0000], [0.5000, 0.0000, 0.5000], [0.0000, 0.5000, 0.0000], [0.0000, 0.5000, 0.5000]],
  "rho_kg_m3": 9124,
  "formation_energy_mev_per_atom": -419
}



# 15
{
  "formula": "Pa2AsH2S",
  "functional": "GGA-PBE",
  "state": "relaxed",
  "cell": [[-0.5295, -0.4493, -3.7685], [-1.0018, -2.7952, 2.4222], [-6.8131, 2.9652, 0.6038]],
  "species": ["Pa", "Pa", "As", "H", "H", "S"],
  "frac_coords": [[0.3333, 0.6667, 0.2404], [0.6667, 0.3333, 0.7596], [0.0000, 0.0000, 0.5000], [0.3333, 0.6667, 0.7516], [0.6667, 0.3333, 0.2484], [0.0000, 0.0000, 0.0000]],
  "rho_kg_m3": 10003,
  "dft_energy_ev_per_atom": -6.7595
}



# 16
{
  "formula": "Sr3Tb3HoS8",
  "functional": "GGA-PBE",
  "state": "relaxed",
  "cell": [[8.0203, -0.0002, 0.0001], [-4.0103, 6.9452, -0.0251], [0.0001, -4.6062, 6.8810]],
  "species": ["Sr", "Sr", "Sr", "Tb", "Tb", "Tb", "Ho", "S", "S", "S", "S", "S", "S", "S", "S"],
  "frac_coords": [[0.0000, 0.0000, 0.0000], [0.0000, 0.5000, 0.0000], [0.5000, 0.5000, 0.0000], [0.5000, 0.0000, 0.5000], [0.5000, 0.5000, 0.5000], [0.0000, 0.5000, 0.5000], [0.0000, 0.0000, 0.5000], [0.2566, 0.5131, 0.2697], [0.7434, 0.4869, 0.7303], [0.7607, 0.5214, 0.2766], [0.2393, 0.4786, 0.7234], [0.7607, 0.0159, 0.2766], [0.2393, 0.9841, 0.7234], [0.2552, 0.0159, 0.2766], [0.7448, 0.9841, 0.7234]],
  "rho_kg_m3": 5042,
  "e_form_raw_ev_per_fu": -31.35
}



# 17
{
  "formula": "ZnGeAsIrAu",
  "functional": "GGA-PBE",
  "state": "relaxed",
  "cell": [[2.9355, -0.0022, 0.0084], [0.0009, 3.1880, 0.0096], [1.4721, 1.6113, 9.7921]],
  "species": ["Zn", "As", "Ir", "Au", "Ge"],
  "frac_coords": [[0.1960, 0.9955, 0.5054], [0.0692, 0.8716, 0.7650], [0.4961, 0.2953, 0.9132], [0.7789, 0.5792, 0.3439], [0.9046, 0.7055, 0.0818]],
  "rho_kg_m3": 10921,
  "formation_energy_mev_per_atom": -49
}



# 18
{
  "formula": "ErPd2Pt4",
  "functional": "GGA-PBE",
  "state": "relaxed",
  "cell": [[7.9244, -0.0010, -3.5506], [-1.1327, 4.6733, -2.5274], [-1.2699, 0.7429, 7.7906]],
  "species": ["Er", "Er", "Pd", "Pd", "Pd", "Pd", "Pt", "Pt", "Pt", "Pt", "Pt", "Pt", "Pt", "Pt"],
  "frac_coords": [[0.2486, 0.9265, 0.8528], [0.6448, 0.8229, 0.6462], [0.2062, 0.3020, 0.6051], [0.8512, 0.4478, 0.8951], [0.5298, 0.3750, 0.2498], [0.5300, 0.8751, 0.2500], [0.4676, 0.2579, 0.5158], [0.8299, 0.6316, 0.2632], [0.8168, 0.1188, 0.2374], [0.9135, 0.0649, 0.6160], [0.9135, 0.5512, 0.6158], [0.2018, 0.4922, 0.9840], [0.5480, 0.6852, 0.8844], [0.5482, 0.1989, 0.8844]],
  "rho_kg_m3": 13509,
  "formation_energy_mev_per_atom": -260
}



# 19
{
  "formula": "Nd4YNi4",
  "functional": "GGA-PBE",
  "state": "relaxed",
  "cell": [[5.9386, 0.0000, 0.0000], [0.0000, 8.5802, 0.0000], [0.0000, 0.0000, 8.5802]],
  "species": ["Nd", "Nd", "Nd", "Nd", "Nd", "Nd", "Nd", "Nd", "Y", "Y", "Ni", "Ni", "Ni", "Ni", "Ni", "Ni", "Ni", "Ni"],
  "frac_coords": [[0.3996, 0.3074, 0.9149], [0.8996, 0.5851, 0.8074], [0.3996, 0.6926, 0.0851], [0.1004, 0.1926, 0.5851], [0.6004, 0.9149, 0.6926], [0.1004, 0.8074, 0.4149], [0.8996, 0.4149, 0.1926], [0.6004, 0.0851, 0.3074], [0.0000, 0.0000, 0.0000], [0.5000, 0.5000, 0.5000], [0.6226, 0.7721, 0.3692], [0.6226, 0.2279, 0.6308], [0.1226, 0.8692, 0.7279], [0.8774, 0.2721, 0.8692], [0.8774, 0.7279, 0.1308], [0.3774, 0.3692, 0.2279], [0.3774, 0.6308, 0.7721], [0.1226, 0.1308, 0.2721]],
  "rho_kg_m3": 6842,
  "formation_energy_mev_per_atom": -181
}



# 20
{
  "formula": "Ac2LaBi",
  "functional": "GGA-PBE",
  "state": "relaxed",
  "cell": [[4.2594, 0.0000, 0.0000], [2.1297, 3.6888, 0.0000], [2.1297, 1.2296, 11.8283]],
  "species": ["Ac", "Ac", "Bi", "La"],
  "frac_coords": [[0.1040, 0.1040, 0.6879], [0.8960, 0.8960, 0.3121], [0.5000, 0.5000, 0.5000], [0.0000, 0.0000, 0.0000]],
  "rho_kg_m3": 7165,
  "formation_energy_mev_per_atom": 14
}



# 21
{
  "formula": "Tb5Pm3Nd3",
  "functional": "GGA-PBE",
  "state": "relaxed",
  "cell": [[5.5555, 0.0000, 0.0000], [0.0000, 9.7149, 0.0000], [0.0000, -4.8575, 8.4134]],
  "species": ["Tb", "Tb", "Tb", "Tb", "Tb", "Pm", "Pm", "Pm", "Nd", "Nd", "Nd"],
  "frac_coords": [[0.5000, 0.3333, 0.6667], [0.5000, 0.6667, 0.3333], [0.5000, 0.2685, 0.2685], [0.5000, 0.0000, 0.7315], [0.5000, 0.7315, 0.0000], [0.0000, 0.4300, 0.4300], [0.0000, 0.5700, 0.0000], [0.0000, 0.0000, 0.5700], [0.5000, 0.6340, 0.6340], [0.5000, 0.0000, 0.3660], [0.5000, 0.3660, 0.0000]],
  "rho_kg_m3": 6079,
  "formation_energy_mev_per_atom": 757
}



# 22
{
  "formula": "Sn2AsPd8",
  "functional": "GGA-PBE",
  "state": "relaxed",
  "cell": [[-1.9554, 1.0239, -3.5650], [-4.0385, -6.4104, 0.3741], [-1.1322, 5.4734, 4.6587]],
  "species": ["Sn", "Sn", "As", "Pd", "Pd", "Pd", "Pd", "Pd", "Pd", "Pd", "Pd"],
  "frac_coords": [[0.1907, 0.6907, 0.3814], [0.8093, 0.3093, 0.6186], [0.5000, 0.0000, 0.0000], [0.6583, 0.8902, 0.3166], [0.3417, 0.5736, 0.6834], [0.1313, 0.1313, 0.2625], [0.0000, 0.3113, 0.0000], [0.8687, 0.8687, 0.7375], [0.6583, 0.4264, 0.3166], [0.3417, 0.1098, 0.6834], [0.0000, 0.6887, 0.0000]],
  "rho_kg_m3": 10394,
  "formation_energy_mev_per_atom": -390
}



# 23
{
  "formula": "K2TaHOs",
  "functional": "GGA-PBE",
  "state": "relaxed",
  "cell": [[-0.7415, -1.2822, -6.2670], [0.2743, -4.5837, 0.9053], [-6.3857, -0.2239, 0.8013]],
  "species": ["H", "K", "K", "Os", "Ta"],
  "frac_coords": [[0.5000, 0.5000, 0.5000], [0.0000, 0.0000, 0.5000], [0.5000, 0.0000, 0.0000], [0.0000, 0.0000, 0.0000], [0.0000, 0.5000, 0.0000]],
  "rho_kg_m3": 3853,
  "dft_energy_ev_per_atom": -4.2637
}